## LiLaCr2 (GGA-PBE)

Data for a geometry-optimized LiLaCr2 structure.

The space group is Cmmm. For the energy above the lowest structure with this stoichiometry, the calculation gives 594 meV per atom. For the density of states at the Fermi level, the calculation gives 1.406 states/eV per atom. The value obtained for the energy of formation from the pure elements is 0.980 eV/atom.

abc: 5.462 5.462 2.671
angles: 90.00 90.00 122.90
Sites, in units of the cell vectors:
Li (0.000, 0.000, 0.000)
La (0.500, 0.500, 0.000)
Cr (0.000, 0.500, 0.500)
Cr (0.500, 0.000, 0.500)